# TbMgIr

A geometry-optimized TbMgIr structure (PBE-GGA, Alexandria via LeMat-Bulk).

```
data_TbMgIr
_chemical_formula_sum 'Tb6 Mg6 Ir6'
_space_group_name_H-M_alt 'P 1'
_space_group_IT_number 1
_space_group_name_Hall 'P 1'
_cell_length_a 7.2445
_cell_length_b 4.0944
_cell_length_c 12.6309
_cell_angle_alpha 90.00
_cell_angle_beta 90.01
_cell_angle_gamma 90.00
loop_
_atom_site_label
_atom_site_type_symbol
_atom_site_fract_x
_atom_site_fract_y
_atom_site_fract_z
Tb1 Tb 0.0416 0.2500 0.3805
Tb2 Tb 0.1523 0.2500 0.0839
Tb3 Tb 0.4544 0.7500 0.7155
Tb4 Tb 0.5456 0.2500 0.2845
Tb5 Tb 0.8477 0.7500 0.9161
Tb6 Tb 0.9584 0.7500 0.6195
Mg1 Mg 0.1276 0.2500 0.7976
Mg2 Mg 0.3651 0.7500 0.4598
Mg3 Mg 0.4987 0.2500 0.9143
Mg4 Mg 0.5013 0.7500 0.0857
Mg5 Mg 0.6349 0.2500 0.5402
Mg6 Mg 0.8724 0.7500 0.2024
Ir1 Ir 0.2494 0.7500 0.2499
Ir2 Ir 0.2500 0.7500 0.9215
Ir3 Ir 0.2507 0.2500 0.5870
Ir4 Ir 0.7493 0.7500 0.4130
Ir5 Ir 0.7500 0.2500 0.0785
Ir6 Ir 0.7506 0.2500 0.7501
```

DFT total energy	-5.71	eV per atom
size of the total moment	0.000	μB/atom
theoretical density	9.98	g/cm3

=====

# TbMg8Ir2

A geometry-optimized TbMg8Ir2 structure (PBE-GGA, Alexandria via LeMat-Bulk).

```
data_TbMg8Ir2
_chemical_formula_sum 'Tb1 Mg8 Ir2'
_space_group_name_H-M_alt 'P 1'
_space_group_IT_number 1
_space_group_name_Hall 'P 1'
_cell_length_a 7.3000
_cell_length_b 7.3000
_cell_length_c 5.1722
_cell_angle_alpha 97.06
_cell_angle_beta 97.06
_cell_angle_gamma 112.10
loop_
_atom_site_label
_atom_site_type_symbol
_atom_site_fract_x
_atom_site_fract_y
_atom_site_fract_z
Tb1 Tb 0.0000 0.0000 0.0000
Mg1 Mg 0.0659 0.3324 0.5757
Mg2 Mg 0.2706 0.7294 0.0000
Mg3 Mg 0.3324 0.0659 0.5757
Mg4 Mg 0.4129 0.4129 0.2320
Mg5 Mg 0.5871 0.5871 0.7680
Mg6 Mg 0.6676 0.9341 0.4243
Mg7 Mg 0.7294 0.2706 0.0000
Mg8 Mg 0.9341 0.6676 0.4243
Ir1 Ir 0.3102 0.6898 0.5000
Ir2 Ir 0.6898 0.3102 0.5000
```

DFT total energy	-3.30	eV per atom
size of the total moment	0.000	μB/atom
theoretical density	4.92	g/cm3

=====

# Tb4MgIr2

A geometry-optimized Tb4MgIr2 structure (PBE-GGA, Alexandria via LeMat-Bulk).

```
data_Tb4MgIr2
_chemical_formula_sum 'Tb8 Mg2 Ir4'
_space_group_name_H-M_alt 'P 1'
_space_group_IT_number 1
_space_group_name_Hall 'P 1'
_cell_length_a 7.2435
_cell_length_b 7.2567
_cell_length_c 7.5801
_cell_angle_alpha 102.29
_cell_angle_beta 102.29
_cell_angle_gamma 96.47
loop_
_atom_site_label
_atom_site_type_symbol
_atom_site_fract_x
_atom_site_fract_y
_atom_site_fract_z
Tb1 Tb 0.0000 0.0000 0.0000
Tb2 Tb 0.0080 0.0101 0.4902
Tb3 Tb 0.0523 0.4368 0.3517
Tb4 Tb 0.4157 0.4005 0.0243
Tb5 Tb 0.5383 0.0922 0.6481
Tb6 Tb 0.5715 0.9563 0.1377
Tb7 Tb 0.6104 0.5957 0.4676
Tb8 Tb 0.9172 0.4702 0.8422
Mg1 Mg 0.2303 0.7788 0.2462
Mg2 Mg 0.2842 0.7242 0.7444
Ir1 Ir 0.3205 0.1830 0.3079
Ir2 Ir 0.7453 0.2555 0.0311
Ir3 Ir 0.7520 0.2645 0.4583
Ir4 Ir 0.8249 0.6882 0.1825
```

DFT total energy	-5.86	eV per atom
size of the total moment	0.000	μB/atom
theoretical density	9.25	g/cm3

=====

# TbMgIr2

A geometry-optimized TbMgIr2 structure (PBE-GGA, Alexandria via LeMat-Bulk).

```
data_TbMgIr2
_chemical_formula_sum 'Tb1 Mg1 Ir2'
_space_group_name_H-M_alt 'P 1'
_space_group_IT_number 1
_space_group_name_Hall 'P 1'
_cell_length_a 4.4589
_cell_length_b 4.4589
_cell_length_c 3.5910
_cell_angle_alpha 90.00
_cell_angle_beta 90.00
_cell_angle_gamma 90.00
loop_
_atom_site_label
_atom_site_type_symbol
_atom_site_fract_x
_atom_site_fract_y
_atom_site_fract_z
Tb1 Tb 0.0000 0.0000 0.0000
Mg1 Mg 0.5000 0.5000 0.0000
Ir1 Ir 0.0000 0.5000 0.5000
Ir2 Ir 0.5000 0.0000 0.5000
```

DFT total energy	-6.51	eV per atom
size of the total moment	0.000	μB/atom
theoretical density	13.20	g/cm3

=====

# Tb3MgIr2

A geometry-optimized Tb3MgIr2 structure (PBE-GGA, Alexandria via LeMat-Bulk).

```
data_Tb3MgIr2
_chemical_formula_sum 'Tb6 Mg2 Ir4'
_space_group_name_H-M_alt 'P 1'
_space_group_IT_number 1
_space_group_name_Hall 'P 1'
_cell_length_a 8.1664
_cell_length_b 8.1664
_cell_length_c 8.1664
_cell_angle_alpha 132.06
_cell_angle_beta 72.73
_cell_angle_gamma 128.83
loop_
_atom_site_label
_atom_site_type_symbol
_atom_site_fract_x
_atom_site_fract_y
_atom_site_fract_z
Tb1 Tb 0.0270 0.7500 0.2770
Tb2 Tb 0.2500 0.2500 0.0000
Tb3 Tb 0.4730 0.7500 0.7230
Tb4 Tb 0.5270 0.2500 0.2770
Tb5 Tb 0.7500 0.7500 0.0000
Tb6 Tb 0.9730 0.2500 0.7230
Mg1 Mg 0.0000 0.5000 0.5000
Mg2 Mg 0.5000 0.0000 0.5000
Ir1 Ir 0.1376 0.2092 0.3468
Ir2 Ir 0.3624 0.7092 0.0716
Ir3 Ir 0.6376 0.2908 0.9284
Ir4 Ir 0.8624 0.7908 0.6532
```

DFT total energy	-6.17	eV per atom
size of the total moment	0.000	μB/atom
theoretical density	9.55	g/cm3

=====

# TbMgIr

A geometry-optimized TbMgIr structure (PBE-GGA, Alexandria via LeMat-Bulk).

```
data_TbMgIr
_chemical_formula_sum 'Tb4 Mg4 Ir4'
_space_group_name_H-M_alt 'P 1'
_space_group_IT_number 1
_space_group_name_Hall 'P 1'
_cell_length_a 7.1031
_cell_length_b 4.1114
_cell_length_c 8.5554
_cell_angle_alpha 90.00
_cell_angle_beta 90.00
_cell_angle_gamma 90.00
loop_
_atom_site_label
_atom_site_type_symbol
_atom_site_fract_x
_atom_site_fract_y
_atom_site_fract_z
Tb1 Tb 0.0399 0.2500 0.1747
Tb2 Tb 0.4601 0.7500 0.6747
Tb3 Tb 0.5399 0.2500 0.3253
Tb4 Tb 0.9601 0.7500 0.8253
Mg1 Mg 0.1345 0.2500 0.5585
Mg2 Mg 0.3655 0.7500 0.0585
Mg3 Mg 0.6345 0.2500 0.9415
Mg4 Mg 0.8655 0.7500 0.4415
Ir1 Ir 0.2494 0.7500 0.3699
Ir2 Ir 0.2506 0.2500 0.8699
Ir3 Ir 0.7494 0.7500 0.1301
Ir4 Ir 0.7506 0.2500 0.6301
```

DFT total energy	-5.71	eV per atom
size of the total moment	0.000	μB/atom
theoretical density	9.98	g/cm3

=====

# TbMg2Ir

A geometry-optimized TbMg2Ir structure (PBE-GGA, Alexandria via LeMat-Bulk).

```
data_TbMg2Ir
_chemical_formula_sum 'Tb8 Mg16 Ir8'
_space_group_name_H-M_alt 'P 1'
_space_group_IT_number 1
_space_group_name_Hall 'P 1'
_cell_length_a 15.3608
_cell_length_b 8.3922
_cell_length_c 5.3826
_cell_angle_alpha 90.00
_cell_angle_beta 90.00
_cell_angle_gamma 90.00
loop_
_atom_site_label
_atom_site_type_symbol
_atom_site_fract_x
_atom_site_fract_y
_atom_site_fract_z
Tb1 Tb 0.1062 0.2500 0.2452
Tb2 Tb 0.1367 0.7500 0.0475
Tb3 Tb 0.3633 0.2500 0.5475
Tb4 Tb 0.3938 0.7500 0.7452
Tb5 Tb 0.6062 0.2500 0.2548
Tb6 Tb 0.6367 0.7500 0.4525
Tb7 Tb 0.8633 0.2500 0.9525
Tb8 Tb 0.8938 0.7500 0.7548
Mg1 Mg 0.0418 0.0560 0.7321
Mg2 Mg 0.0418 0.4440 0.7321
Mg3 Mg 0.2116 0.5565 0.5356
Mg4 Mg 0.2116 0.9435 0.5356
Mg5 Mg 0.2884 0.0565 0.0356
Mg6 Mg 0.2884 0.4435 0.0356
Mg7 Mg 0.4582 0.5560 0.2321
Mg8 Mg 0.4582 0.9440 0.2321
Mg9 Mg 0.5418 0.0560 0.7679
Mg10 Mg 0.5418 0.4440 0.7679
Mg11 Mg 0.7116 0.5565 0.9644
Mg12 Mg 0.7116 0.9435 0.9644
Mg13 Mg 0.7884 0.0565 0.4644
Mg14 Mg 0.7884 0.4435 0.4644
Mg15 Mg 0.9582 0.5560 0.2679
Mg16 Mg 0.9582 0.9440 0.2679
Ir1 Ir 0.0662 0.7500 0.5473
Ir2 Ir 0.1886 0.2500 0.7338
Ir3 Ir 0.3114 0.7500 0.2338
Ir4 Ir 0.4338 0.2500 0.0473
Ir5 Ir 0.5662 0.7500 0.9527
Ir6 Ir 0.6886 0.2500 0.7662
Ir7 Ir 0.8114 0.7500 0.2662
Ir8 Ir 0.9338 0.2500 0.4527
```

DFT total energy	-4.66	eV per atom
size of the total moment	0.000	μB/atom
theoretical density	7.65	g/cm3

=====

# TbMg3Ir

A geometry-optimized TbMg3Ir structure (PBE-GGA, Alexandria via LeMat-Bulk).

```
data_TbMg3Ir
_chemical_formula_sum 'Tb2 Mg6 Ir2'
_space_group_name_H-M_alt 'P 1'
_space_group_IT_number 1
_space_group_name_Hall 'P 1'
_cell_length_a 5.4366
_cell_length_b 5.8193
_cell_length_c 7.3578
_cell_angle_alpha 90.00
_cell_angle_beta 107.13
_cell_angle_gamma 90.00
loop_
_atom_site_label
_atom_site_type_symbol
_atom_site_fract_x
_atom_site_fract_y
_atom_site_fract_z
Tb1 Tb 0.1114 0.2500 0.4079
Tb2 Tb 0.8886 0.7500 0.5921
Mg1 Mg 0.0231 0.2500 0.8887
Mg2 Mg 0.4970 0.5016 0.7923
Mg3 Mg 0.4970 0.9984 0.7923
Mg4 Mg 0.5030 0.0016 0.2077
Mg5 Mg 0.5030 0.4984 0.2077
Mg6 Mg 0.9769 0.7500 0.1113
Ir1 Ir 0.3244 0.7500 0.4641
Ir2 Ir 0.6756 0.2500 0.5359
```

DFT total energy	-4.02	eV per atom
size of the total moment	0.000	μB/atom
theoretical density	6.33	g/cm3

=====

# TbMgIr

A geometry-optimized TbMgIr structure (PBE-GGA, Alexandria via LeMat-Bulk).

```
data_TbMgIr
_chemical_formula_sum 'Tb1 Mg1 Ir1'
_space_group_name_H-M_alt 'P 1'
_space_group_IT_number 1
_space_group_name_Hall 'P 1'
_cell_length_a 4.6416
_cell_length_b 4.6416
_cell_length_c 4.6416
_cell_angle_alpha 60.00
_cell_angle_beta 60.00
_cell_angle_gamma 60.00
loop_
_atom_site_label
_atom_site_type_symbol
_atom_site_fract_x
_atom_site_fract_y
_atom_site_fract_z
Tb1 Tb 0.0000 0.0000 0.0000
Mg1 Mg 0.5000 0.5000 0.5000
Ir1 Ir 0.7500 0.7500 0.7500
```

DFT total energy	-5.54	eV per atom
size of the total moment	0.000	μB/atom
theoretical density	8.82	g/cm3

=====

# TbTmMgIr

A geometry-optimized TbTmMgIr structure (PBE-GGA, Alexandria via LeMat-Bulk).

```
data_TbTmMgIr
_chemical_formula_sum 'Tb1 Tm1 Mg1 Ir1'
_space_group_name_H-M_alt 'P 1'
_space_group_IT_number 1
_space_group_name_Hall 'P 1'
_cell_length_a 5.0031
_cell_length_b 5.0031
_cell_length_c 5.0031
_cell_angle_alpha 60.00
_cell_angle_beta 60.00
_cell_angle_gamma 60.00
loop_
_atom_site_label
_atom_site_type_symbol
_atom_site_fract_x
_atom_site_fract_y
_atom_site_fract_z
Tb1 Tb 0.0000 0.0000 0.0000
Tm1 Tm 0.5000 0.5000 0.5000
Mg1 Mg 0.7500 0.7500 0.7500
Ir1 Ir 0.2500 0.2500 0.2500
```

DFT total energy	-5.36	eV per atom
size of the total moment	0.000	μB/atom
theoretical density	10.21	g/cm3

=====

# TbYMgIr

A geometry-optimized TbYMgIr structure (PBE-GGA, Alexandria via LeMat-Bulk).

```
data_TbYMgIr
_chemical_formula_sum 'Tb1 Y1 Mg1 Ir1'
_space_group_name_H-M_alt 'P 1'
_space_group_IT_number 1
_space_group_name_Hall 'P 1'
_cell_length_a 5.0433
_cell_length_b 5.0433
_cell_length_c 5.0433
_cell_angle_alpha 60.00
_cell_angle_beta 60.00
_cell_angle_gamma 60.00
loop_
_atom_site_label
_atom_site_type_symbol
_atom_site_fract_x
_atom_site_fract_y
_atom_site_fract_z
Tb1 Tb 0.0000 0.0000 0.0000
Y1 Y 0.5000 0.5000 0.5000
Mg1 Mg 0.2500 0.2500 0.2500
Ir1 Ir 0.7500 0.7500 0.7500
```

DFT total energy	-5.83	eV per atom
size of the total moment	0.000	μB/atom
theoretical density	8.50	g/cm3

=====

# TbMgZnIr

A geometry-optimized TbMgZnIr structure (PBE-GGA, Alexandria via LeMat-Bulk).

```
data_TbMgZnIr
_chemical_formula_sum 'Tb1 Mg1 Zn1 Ir1'
_space_group_name_H-M_alt 'P 1'
_space_group_IT_number 1
_space_group_name_Hall 'P 1'
_cell_length_a 4.7542
_cell_length_b 4.7542
_cell_length_c 4.7542
_cell_angle_alpha 60.00
_cell_angle_beta 60.00
_cell_angle_gamma 60.00
loop_
_atom_site_label
_atom_site_type_symbol
_atom_site_fract_x
_atom_site_fract_y
_atom_site_fract_z
Tb1 Tb 0.0000 0.0000 0.0000
Mg1 Mg 0.5000 0.5000 0.5000
Zn1 Zn 0.7500 0.7500 0.7500
Ir1 Ir 0.2500 0.2500 0.2500
```

DFT total energy	-4.50	eV per atom
size of the total moment	0.000	μB/atom
theoretical density	9.63	g/cm3

=====

Please write out number 2 again, unchanged.
# TbMg8Ir2

A geometry-optimized TbMg8Ir2 structure (PBE-GGA, Alexandria via LeMat-Bulk).

```
data_TbMg8Ir2
_chemical_formula_sum 'Tb1 Mg8 Ir2'
_space_group_name_H-M_alt 'P 1'
_space_group_IT_number 1
_space_group_name_Hall 'P 1'
_cell_length_a 7.3000
_cell_length_b 7.3000
_cell_length_c 5.1722
_cell_angle_alpha 97.06
_cell_angle_beta 97.06
_cell_angle_gamma 112.10
loop_
_atom_site_label
_atom_site_type_symbol
_atom_site_fract_x
_atom_site_fract_y
_atom_site_fract_z
Tb1 Tb 0.0000 0.0000 0.0000
Mg1 Mg 0.0659 0.3324 0.5757
Mg2 Mg 0.2706 0.7294 0.0000
Mg3 Mg 0.3324 0.0659 0.5757
Mg4 Mg 0.4129 0.4129 0.2320
Mg5 Mg 0.5871 0.5871 0.7680
Mg6 Mg 0.6676 0.9341 0.4243
Mg7 Mg 0.7294 0.2706 0.0000
Mg8 Mg 0.9341 0.6676 0.4243
Ir1 Ir 0.3102 0.6898 0.5000
Ir2 Ir 0.6898 0.3102 0.5000
```

DFT total energy	-3.30	eV per atom
size of the total moment	0.000	μB/atom
theoretical density	4.92	g/cm3